1.
# CdPbSe2, PBEsol geometry, DFT SCAN
# M_tot = 0.000 μB/f.u.
# energy relative to the elements, uncorrected = -184 meV/atom
# Fermi-level density of states = 2.12 states/eV/f.u.
# E_tot = -147.090 eV for the cell shown
data_CdPbSe2
_space_group_name_H-M_alt 'P 4/m m m'
_space_group_IT_number 123
_space_group_name_Hall '-P 4 2'
_cell_length_a 5.067
_cell_length_b 5.067
_cell_length_c 3.640
_cell_angle_alpha 90.00
_cell_angle_beta 90.00
_cell_angle_gamma 90.00
loop_
_atom_site_label
_atom_site_type_symbol
_atom_site_fract_x
_atom_site_fract_y
_atom_site_fract_z
Cd1 Cd 0.000 0.000 0.000
Pb1 Pb 0.500 0.500 0.000
Se1 Se 0.000 0.500 0.500

2.
# NaZr3H, PBEsol geometry, DFT SCAN
# M_tot = 0.000 μB/f.u.
# Fermi-level density of states = 4.10 states/eV/f.u.
# E_tot = -98.601 eV for the cell shown
data_NaZr3H
_space_group_name_H-M_alt 'P m -3 m'
_space_group_IT_number 221
_space_group_name_Hall '-P 4 2 3'
_cell_length_a 4.482
_cell_length_b 4.482
_cell_length_c 4.482
_cell_angle_alpha 90.00
_cell_angle_beta 90.00
_cell_angle_gamma 90.00
loop_
_atom_site_label
_atom_site_type_symbol
_atom_site_fract_x
_atom_site_fract_y
_atom_site_fract_z
Na1 Na 0.000 0.000 0.000
Zr1 Zr 0.000 0.500 0.500
H1 H 0.500 0.500 0.500

3.
# Cr2FeCu, PBEsol geometry, DFT SCAN
# M_tot = 1.842 μB/f.u.
# DFT formation energy = 0.33 eV/atom
# offset from the most stable computed form = 172 meV/atom
# Fermi-level density of states = 3.41 states/eV/f.u.
# E_tot = -137.593 eV for the cell shown
data_Cr2FeCu
_space_group_name_H-M_alt 'C 1 2/m 1'
_space_group_IT_number 12
_cell_length_a 8.410
_cell_length_b 2.366
_cell_length_c 4.496
_cell_angle_alpha 90.00
_cell_angle_beta 97.13
_cell_angle_gamma 90.00
loop_
_space_group_symop_operation_xyz
'x,y,z'
'-x,-y,-z'
'-x,y,-z'
'x,-y,z'
'x+1/2,y+1/2,z'
'-x+1/2,-y+1/2,-z'
'-x+1/2,y+1/2,-z'
'x+1/2,-y+1/2,z'
loop_
_atom_site_label
_atom_site_type_symbol
_atom_site_fract_x
_atom_site_fract_y
_atom_site_fract_z
Cr1 Cr 0.249 0.000 0.249
Fe1 Fe 0.000 0.500 0.000
Cu1 Cu 0.000 0.000 0.500

4.
# Ag2SbCl, PBEsol geometry, DFT SCAN
# M_tot = 0.000 μB/f.u.
# energy relative to the elements, uncorrected = 116 meV/atom
# Fermi-level density of states = 1.00 states/eV/f.u.
# E_tot = -107.509 eV for the cell shown
data_Ag2SbCl
_space_group_name_H-M_alt 'P m m m'
_space_group_IT_number 47
_cell_length_a 3.099
_cell_length_b 5.042
_cell_length_c 5.124
_cell_angle_alpha 90.00
_cell_angle_beta 90.00
_cell_angle_gamma 90.00
loop_
_space_group_symop_operation_xyz
'x,y,z'
'-x,-y,-z'
'-x,-y,z'
'x,y,-z'
'x,-y,-z'
'-x,y,z'
'-x,y,-z'
'x,-y,z'
loop_
_atom_site_label
_atom_site_type_symbol
_atom_site_fract_x
_atom_site_fract_y
_atom_site_fract_z
Ag1 Ag 0.000 0.000 0.000
Ag2 Ag 0.500 0.500 0.000
Sb1 Sb 0.000 0.500 0.500
Cl1 Cl 0.500 0.000 0.500

5.
# Al2SnPd2, PBEsol geometry, DFT SCAN
# M_tot = 0.000 μB/f.u.
# DFT formation energy = -0.56 eV/atom
# Fermi-level density of states = 1.72 states/eV/f.u.
# E_tot = -239.538 eV for the cell shown
data_Al2SnPd2
_space_group_name_H-M_alt 'I 4/m m m'
_space_group_IT_number 139
_space_group_name_Hall '-I 4 2'
_cell_length_a 3.785
_cell_length_b 3.785
_cell_length_c 12.132
_cell_angle_alpha 90.00
_cell_angle_beta 90.00
_cell_angle_gamma 90.00
loop_
_atom_site_label
_atom_site_type_symbol
_atom_site_fract_x
_atom_site_fract_y
_atom_site_fract_z
Al1 Al 0.000 0.500 0.250
Sn1 Sn 0.000 0.000 0.000
Pd1 Pd 0.000 0.000 0.385

6.
# AsPF2, PBEsol geometry, DFT SCAN
# M_tot = 0.002 μB/f.u.
# offset from the most stable computed form = 661 meV/atom
# energy relative to the elements, uncorrected = -47 meV/atom
# Fermi-level density of states = 2.38 states/eV/f.u.
# E_tot = -151.434 eV for the cell shown
data_AsPF2
_space_group_name_H-M_alt 'F m -3 m'
_space_group_IT_number 225
_space_group_name_Hall '-F 4 2 3'
_cell_length_a 5.883
_cell_length_b 5.883
_cell_length_c 5.883
_cell_angle_alpha 90.00
_cell_angle_beta 90.00
_cell_angle_gamma 90.00
loop_
_atom_site_label
_atom_site_type_symbol
_atom_site_fract_x
_atom_site_fract_y
_atom_site_fract_z
As1 As 0.000 0.000 0.000
P1 P 0.000 0.000 0.500
F1 F 0.250 0.250 0.250